Record 1
6
Lattice="4.198 0.000 0.000 0.000 2.966 0.000 0.000 0.000 9.088" Properties=species:S:1:pos:R:3 comment="NbZnSn PBE-GGA relaxed" magnetic_moment_mub_per_atom=0.0000 dft_energy_ev_per_atom=-5.009 e_form_ev_per_atom=0.107 space_group="Pmn2_1 (31)" pbc="T T T"
Nb 0.000 2.957 3.220
Nb 2.099 0.009 7.764
Zn 0.000 1.494 8.940
Zn 2.099 1.472 4.396
Sn 2.099 1.472 1.542
Sn 0.000 1.494 6.087



Record 2
5
Lattice="-5.104 -0.342 0.316 -0.015 -3.354 -3.875 0.465 -3.860 3.339" Properties=species:S:1:pos:R:3 comment="NbZnSn3 PBE-GGA relaxed" magnetic_moment_mub_per_atom=0.5957 dft_energy_ev_per_atom=-3.755 e_form_ev_per_atom=0.915 space_group="Pm-3m (221)" pbc="T T T"
Zn 0.000 0.000 0.000
Nb -2.327 -3.778 -0.109
Sn -0.008 -1.677 -1.937
Sn 0.233 -1.930 1.670
Sn -2.552 -0.171 0.158



Record 3
4
Lattice="-2.531 2.378 0.896 -2.456 1.001 -2.415 -5.902 -4.181 1.606" Properties=species:S:1:pos:R:3 comment="Nb2ZnSn PBE-GGA relaxed" magnetic_moment_mub_per_atom=0.0000 dft_energy_ev_per_atom=-5.997 e_form_ev_per_atom=0.358 space_group="R-3m (166)" pbc="T T T"
Zn 0.000 0.000 0.000
Nb -2.609 -0.059 -0.035
Nb -8.280 -0.744 0.122
Sn -5.444 -0.401 0.043



Record 4
8
Lattice="-2.341 -0.319 -7.057 5.623 -4.585 -1.658 0.041 -4.641 -3.728" Properties=species:S:1:pos:R:3 comment="NbZn2Sn PBE-GGA relaxed" magnetic_moment_mub_per_atom=0.0000 dft_energy_ev_per_atom=-3.876 e_form_ev_per_atom=0.279 space_group="I-42d (122)" pbc="T T T"
Zn -0.747 -1.932 -5.542
Zn 3.229 -4.066 -2.859
Zn 1.268 -5.325 -6.067
Zn 2.896 -7.766 -10.421
Nb 1.641 -2.452 -4.358
Nb 3.653 -5.839 -4.872
Sn 0.000 0.000 0.000
Sn -0.330 -3.706 -7.572



Record 5
3
Lattice="-2.661 -0.296 1.142 -1.800 -0.438 -4.308 1.428 -3.803 2.342" Properties=species:S:1:pos:R:3 comment="NbZnSn PBE-GGA relaxed" magnetic_moment_mub_per_atom=0.0007 dft_energy_ev_per_atom=-4.989 e_form_ev_per_atom=0.127 space_group="P-6m2 (187)" pbc="T T T"
Zn -2.219 -0.247 0.952
Nb -1.610 -1.658 -1.711
Sn -1.865 -2.928 1.077



Record 6
8
Lattice="4.494 0.000 0.000 0.000 5.534 -1.584 0.000 0.336 5.746" Properties=species:S:1:pos:R:3 comment="Nb6ZnSn PBE-GGA relaxed" magnetic_moment_mub_per_atom=0.0000 dft_energy_ev_per_atom=-8.293 e_form_ev_per_atom=-0.081 space_group="Cmmm (65)" pbc="T T T"
Nb 2.247 0.818 1.957
Nb 2.247 3.752 4.038
Nb 0.000 2.023 0.058
Nb 0.000 5.145 2.272
Nb 0.000 2.298 2.978
Nb 0.000 4.870 -0.649
Zn 2.247 0.986 4.829
Sn 2.247 3.584 1.165



Record 7
4
Lattice="-1.275 4.158 -0.580 -2.955 -1.254 -2.492 -2.527 -0.333 3.165" Properties=species:S:1:pos:R:3 comment="Nb2ZnSn PBE-GGA relaxed" magnetic_moment_mub_per_atom=0.0000 dft_energy_ev_per_atom=-6.408 e_form_ev_per_atom=-0.054 space_group="P4/mmm (123)" pbc="T T T"
Zn -3.378 1.286 0.046
Nb -1.264 -0.166 1.582
Nb -1.478 -0.627 -1.246
Sn -0.637 2.079 -0.290



Record 8
4
Lattice="3.167 0.000 0.000 1.584 2.743 0.000 1.584 0.914 10.760" Properties=species:S:1:pos:R:3 comment="ZrNbSn2 PBE-GGA relaxed" magnetic_moment_mub_per_atom=0.0000 dft_energy_ev_per_atom=-6.494 e_form_ev_per_atom=0.162 space_group="R-3m (166)" pbc="T T T"
Nb 3.167 1.829 5.380
Sn 1.584 0.914 7.764
Sn 4.751 2.743 2.996
Zr 0.000 0.000 0.000



Record 9
10
Lattice="8.276 0.000 0.000 0.000 8.276 0.000 0.000 0.000 3.111" Properties=species:S:1:pos:R:3 comment="ZrNb2Sn2 PBE-GGA relaxed" magnetic_moment_mub_per_atom=0.0105 dft_energy_ev_per_atom=-7.304 e_form_ev_per_atom=0.034 space_group="P4/mbm (127)" pbc="T T T"
Nb 3.167 7.305 0.000
Nb 7.305 5.109 0.000
Nb 5.109 0.971 0.000
Nb 0.971 3.167 0.000
Sn 1.479 5.617 1.556
Sn 5.617 6.798 1.556
Sn 6.798 2.659 1.556
Sn 2.659 1.479 1.556
Zr 0.000 0.000 0.000
Zr 4.138 4.138 0.000



Record 10
10
Lattice="7.390 0.000 0.000 0.000 7.390 0.000 0.000 0.000 3.962" Properties=species:S:1:pos:R:3 comment="Zr2Nb2Sn PBE-GGA relaxed" magnetic_moment_mub_per_atom=0.0000 dft_energy_ev_per_atom=-8.241 e_form_ev_per_atom=0.007 space_group="P4/mbm (127)" pbc="T T T"
Nb 2.773 6.467 0.000
Nb 6.467 4.617 0.000
Nb 4.617 0.922 0.000
Nb 0.922 2.773 0.000
Sn 0.000 0.000 0.000
Sn 3.695 3.695 0.000
Zr 1.296 4.991 1.981
Zr 4.991 6.094 1.981
Zr 6.094 2.399 1.981
Zr 2.399 1.296 1.981



Record 11
4
Lattice="-0.173 -0.121 -3.635 2.826 -2.294 -0.058 -4.043 -4.991 0.359" Properties=species:S:1:pos:R:3 comment="Zr2NbSn PBE-GGA relaxed" magnetic_moment_mub_per_atom=0.0000 dft_energy_ev_per_atom=-8.102 e_form_ev_per_atom=-0.310 space_group="P4/mmm (123)" pbc="T T T"
Nb 1.327 -1.208 -1.846
Sn -0.695 -3.703 -1.667
Zr -3.068 -3.787 0.272
Zr -0.975 -1.203 0.087



Record 12
10
Lattice="-0.257 7.496 -0.721 -1.053 -0.750 -7.424 -3.643 -0.075 0.524" Properties=species:S:1:pos:R:3 comment="ZrNb2Sn2 PBE-GGA relaxed" magnetic_moment_mub_per_atom=0.0000 dft_energy_ev_per_atom=-7.504 e_form_ev_per_atom=-0.165 space_group="P4/mbm (127)" pbc="T T T"
Nb -2.562 0.690 -4.780
Nb -2.873 4.308 -6.427
Nb -2.391 5.982 -2.840
Nb -2.080 2.364 -1.193
Sn -1.003 2.077 -6.673
Sn -0.892 5.996 -5.348
Sn -0.307 4.669 -1.472
Sn -0.418 0.750 -2.797
Zr 0.000 0.000 0.000
Zr -0.655 3.373 -4.073



Copy entry 1 word for word.
6
Lattice="4.198 0.000 0.000 0.000 2.966 0.000 0.000 0.000 9.088" Properties=species:S:1:pos:R:3 comment="NbZnSn PBE-GGA relaxed" magnetic_moment_mub_per_atom=0.0000 dft_energy_ev_per_atom=-5.009 e_form_ev_per_atom=0.107 space_group="Pmn2_1 (31)" pbc="T T T"
Nb 0.000 2.957 3.220
Nb 2.099 0.009 7.764
Zn 0.000 1.494 8.940
Zn 2.099 1.472 4.396
Sn 2.099 1.472 1.542
Sn 0.000 1.494 6.087